# 1
DFT (PBE-GGA) results for a geometry-optimized Li3Al2Zn2 structure.

Results
E_tot ... -2.4442 eV/atom
Total moment ... 0.00 Bohr magnetons per cell
Formation energy ... -0.19 eV/atom
DOS(E_F) ... 1.34 states/eV/f.u.

a = 4.4192 Å, b = 4.4192 Å, c = 6.7963 Å
α = 89.42°, β = 109.34°, γ = 120.41°
Last column: nearest neighbours and their distance in Å.
Sites, in units of the cell vectors:
Li (0.0000, 0.0000, 0.0000)  6 Zn 2.72-2.73, 2 Li 2.75
Li (0.7092, 0.8540, 0.5632)  1 Zn 2.56, 4 Li 2.66-2.75, 3 Al 2.73-2.74
Li (0.2908, 0.1460, 0.4368)  1 Zn 2.56, 4 Li 2.66-2.75, 3 Al 2.73-2.74
Al (0.1486, 0.5726, 0.7213)  4 Zn 2.66-2.74, 3 Li 2.73-2.74, 1 Al 2.78
Al (0.8514, 0.4274, 0.2787)  4 Zn 2.66-2.74, 3 Li 2.73-2.74, 1 Al 2.78
Zn (0.4363, 0.7197, 0.1560)  4 Li 2.56-2.73, 4 Al 2.66-2.74
Zn (0.5637, 0.2803, 0.8440)  4 Li 2.56-2.73, 4 Al 2.66-2.74

***

# 2
DFT (PBE-GGA) results for a geometry-optimized LiAlZn2 structure.

Results
E_tot ... -2.1654 eV/atom
Total moment ... 0.00 Bohr magnetons per cell
Formation energy ... -0.11 eV/atom
DOS(E_F) ... 1.31 states/eV/f.u.

a = 3.9467 Å, b = 3.9455 Å, c = 3.8894 Å
α = 90.00°, β = 90.00°, γ = 90.00°
Last column: nearest neighbours and their distance in Å.
Sites, in units of the cell vectors:
Zn (0.0000, 0.0000, 0.0000)  4 Li 2.77, 4 Al 2.77, 4 Zn 2.79
Zn (0.5000, 0.5000, 0.0000)  4 Al 2.77, 4 Li 2.77, 4 Zn 2.79
Al (0.5000, 0.0000, 0.5000)  8 Zn 2.77, 4 Li 2.79
Li (0.0000, 0.5000, 0.5000)  8 Zn 2.77, 4 Al 2.79

***

Question: Which formula does entry 1 have?
Answer: Li3Al2Zn2